No. 1
Below is crystalline AcNd4SmHo2 at its relaxed geometry, with properties calculated at the PBE level.

a b c (Å): 5.1808 5.2170 10.3790
angles (deg): 90.00 90.06 90.00
Closest atoms and distances in Å follow each position.
Space group P2/m (No. 10)
Unique sites:
Ac 0.0000 0.0000 0.0000 (multiplicity 1)  4 Ho 3.68, 8 Nd 3.72-3.73
Nd 0.9998 0.5000 0.2562 (multiplicity 2)  2 Sm 3.62, 4 Ho 3.63-3.72, 4 Nd 3.67-3.68, 2 Ac 3.73
Nd 0.5002 0.0000 0.2574 (multiplicity 2)  4 Ho 3.61-3.73, 2 Sm 3.63, 4 Nd 3.67-3.68, 2 Ac 3.72
Sm 0.5000 0.5000 0.5000 (multiplicity 1)  8 Nd 3.62-3.63, 4 Ho 3.68
Ho 0.0000 0.0000 0.5000 (multiplicity 1)  8 Nd 3.61-3.63, 4 Sm 3.68
Ho 0.5000 0.5000 0.0000 (multiplicity 1)  4 Ac 3.68, 8 Nd 3.71-3.73

No. 2
Below is crystalline AcNdSm5Ho2 at its relaxed geometry, with properties calculated at the PBE level.

a b c (Å): 5.6001 24.1330 9.4904
angles (deg): 90.00 90.00 90.00
Closest atoms and distances in Å follow each position.
Space group Cmc2_1 (No. 36)
Unique sites:
Ac 0.0000 0.1022 0.0000 (multiplicity 4)  5 Sm 3.42-3.75
Nd 0.0000 0.2628 0.6093 (multiplicity 4)  4 Sm 3.12-3.42
Sm 0.0000 0.0247 0.3248 (multiplicity 4)  3 Sm 3.27-3.59, 2 Ac 3.48-3.61, 2 Ho 3.52
Sm 0.0000 0.1033 0.6050 (multiplicity 4)  4 Sm 3.27-3.63, 4 Ho 3.51-3.64
Sm 0.0000 0.1892 0.3008 (multiplicity 4)  3 Ho 3.41, 3 Nd 3.42-3.53, 4 Sm 3.50-3.70, 1 Ac 3.54
Sm 0.0000 0.2415 0.9339 (multiplicity 4)  3 Nd 3.12-3.26, 1 Ac 3.42, 2 Sm 3.50
Sm 0.0000 0.4925 0.1030 (multiplicity 4)  2 Ho 3.41-3.79, 4 Sm 3.59-3.63
Ho 0.0000 0.3289 0.2463 (multiplicity 4)  6 Sm 3.41-3.73, 3 Nd 3.80
Ho 0.0000 0.3879 0.8615 (multiplicity 4)  9 Sm 3.41-3.79

No. 3
Below is crystalline AcNd3Sm6Ho2 at its relaxed geometry, with properties calculated at the PBE level.

a b c (Å): 6.3257 10.9496 12.1433
angles (deg): 90.00 100.01 90.00
Closest atoms and distances in Å follow each position.
Space group C2/m (No. 12)
Unique sites:
Ac 0.0000 0.0000 0.0000 (multiplicity 2)  6 Ho 3.65, 6 Sm 3.67-3.68
Nd 0.0000 0.1672 0.5000 (multiplicity 4)  6 Sm 3.64-3.66, 6 Nd 3.64-3.66
Nd 0.0000 0.5000 0.5000 (multiplicity 2)  6 Sm 3.64-3.66, 6 Nd 3.64-3.65
Sm 0.2470 0.5000 0.2508 (multiplicity 4)  6 Sm 3.63-3.69, 3 Nd 3.64-3.66, 2 Ho 3.66, 1 Ac 3.68
Sm 0.2484 0.3317 0.7495 (multiplicity 8)  6 Sm 3.63-3.69, 3 Nd 3.64-3.66, 2 Ho 3.66, 1 Ac 3.67
Ho 0.0000 0.3334 0.0000 (multiplicity 4)  3 Ho 3.65, 3 Ac 3.65, 6 Sm 3.66

No. 4
Below is crystalline AcNd2SmHo at its relaxed geometry, with properties calculated at the PBE level.

a b c (Å): 8.3924 12.2496 7.3971
angles (deg): 90.00 90.00 90.00
Closest atoms and distances in Å follow each position.
Space group Cmcm (No. 63)
Unique sites:
Ac 0.0000 0.2422 0.2500 (multiplicity 4)  1 Sm 3.65, 2 Ho 3.78, 4 Nd 4.01
Nd 0.1960 0.5000 0.0000 (multiplicity 8)  2 Sm 3.22, 1 Nd 3.29, 2 Ho 3.43
Sm 0.0000 0.0557 0.7500 (multiplicity 4)  1 Ho 3.07, 4 Nd 3.22
Ho 0.0000 0.3061 0.7500 (multiplicity 4)  1 Sm 3.07, 4 Nd 3.43

No. 5
Below is crystalline Ac2Nd5SmHo at its relaxed geometry, with properties calculated at the PBE level.

a b c (Å): 5.8527 20.7775 11.0341
angles (deg): 90.00 90.00 90.00
Closest atoms and distances in Å follow each position.
Space group Cmc2_1 (No. 36)
Unique sites:
Ac 0.0000 0.1118 0.0000 (multiplicity 4)  9 Nd 3.58-3.99, 1 Sm 3.60, 2 Ho 3.91
Ac 0.0000 0.1183 0.5866 (multiplicity 4)  8 Nd 3.42-3.70
Nd 0.0000 0.0194 0.2902 (multiplicity 4)  2 Ho 3.35, 3 Ac 3.58-3.73
Nd 0.0000 0.2828 0.5733 (multiplicity 4)  1 Ho 3.15, 1 Ac 3.42
Nd 0.0000 0.2954 0.9657 (multiplicity 4)  1 Ho 3.49, 3 Nd 3.55-3.89, 3 Sm 3.61-3.87, 3 Ac 3.68-3.83
Nd 0.0000 0.3933 0.2901 (multiplicity 4)  5 Nd 3.56-3.93, 4 Ac 3.70-3.73, 1 Sm 3.89
Nd 0.0000 0.4812 0.0096 (multiplicity 4)  2 Ho 3.36-3.41, 2 Nd 3.56-3.59, 2 Ac 3.68
Sm 0.0000 0.2065 0.2735 (multiplicity 4)  2 Ac 3.60-3.91, 8 Nd 3.61-3.89, 2 Ho 3.81
Ho 0.0000 0.4086 0.7324 (multiplicity 4)  6 Nd 3.15-3.49

No. 6
Below is crystalline AcNd2SmHo5 at its relaxed geometry, with properties calculated at the PBE level.

a b c (Å): 8.8303 8.8303 15.6864
angles (deg): 90.00 90.00 90.00
Closest atoms and distances in Å follow each position.
Space group I4/mcm (No. 140)
Unique sites:
Ac 0.0000 0.0000 0.2500 (multiplicity 4)  10 Ho 3.66-3.92
Nd 0.1172 0.3828 0.0000 (multiplicity 8)  1 Nd 2.93, 2 Ho 3.03
Sm 0.0000 0.5000 0.2500 (multiplicity 4)  4 Ho 3.17
Ho 0.0000 0.0000 0.0000 (multiplicity 4)  4 Nd 3.54, 8 Ho 3.79, 2 Ac 3.92
Ho 0.2067 0.2933 0.3670 (multiplicity 16)  1 Nd 3.03, 1 Sm 3.17

No. 7
Below is crystalline AcNd5Sm2Ho at its relaxed geometry, with properties calculated at the PBE level.

a b c (Å): 9.0732 9.0732 15.7369
angles (deg): 90.00 90.00 90.00
Closest atoms and distances in Å follow each position.
Space group I4/mcm (No. 140)
Unique sites:
Ac 0.0000 0.0000 0.2500 (multiplicity 4)  10 Nd 3.75-3.93
Nd 0.0000 0.0000 0.0000 (multiplicity 4)  4 Sm 3.64, 8 Nd 3.87, 2 Ac 3.93
Nd 0.2035 0.2965 0.1324 (multiplicity 16)  1 Sm 3.12, 1 Ho 3.20
Sm 0.1154 0.3846 0.5000 (multiplicity 8)  1 Sm 2.96, 2 Nd 3.12
Ho 0.0000 0.5000 0.2500 (multiplicity 4)  4 Nd 3.20

No. 8
Below is crystalline AcNd6Sm2Ho at its relaxed geometry, with properties calculated at the PBE level.

a b c (Å): 9.3937 15.6546 9.8172
angles (deg): 90.00 96.02 90.00
Closest atoms and distances in Å follow each position.
Space group C2/c (No. 15)
Unique sites:
Ac 0.0000 0.0241 0.2500 (multiplicity 4)  4 Sm 3.54-3.62, 4 Nd 3.75-3.85
Nd 0.0599 0.1885 0.9456 (multiplicity 8)  7 Nd 3.52-3.89, 1 Sm 3.64, 1 Ac 3.85
Nd 0.1034 0.3931 0.1171 (multiplicity 8)  3 Sm 3.34-3.51, 4 Nd 3.35-3.62, 2 Ho 3.50-3.64
Nd 0.2129 0.2255 0.3123 (multiplicity 8)  4 Nd 3.35-3.73, 2 Sm 3.50-3.68, 1 Ho 3.55
Sm 0.2420 0.4434 0.4540 (multiplicity 8)  6 Nd 3.34-3.68, 2 Ac 3.54-3.62, 1 Ho 3.66
Ho 0.0000 0.4118 0.7500 (multiplicity 4)  6 Nd 3.50-3.64, 4 Sm 3.66-3.90

No. 9
Below is crystalline AcNd2SmHo4 at its relaxed geometry, with properties calculated at the PBE level.

a b c (Å): 6.9276 11.9911 13.4636
angles (deg): 90.00 90.00 90.00
Closest atoms and distances in Å follow each position.
Space group Imma (No. 74)
Unique sites:
Ac 0.0000 0.0000 0.0000 (multiplicity 4)  2 Nd 3.46, 6 Ho 3.48-3.51
Nd 0.0000 0.0000 0.5000 (multiplicity 4)  6 Ho 3.26-3.42, 2 Ac 3.46
Nd 0.2500 0.2500 0.2500 (multiplicity 4)  6 Ho 3.39-3.48, 2 Nd 3.46
Sm 0.2500 0.2500 0.7500 (multiplicity 4)  6 Ho 3.34-3.45, 2 Sm 3.46
Ho 0.0000 0.0017 0.7419 (multiplicity 8)  3 Nd 3.26-3.48, 2 Sm 3.45, 2 Ho 3.47, 1 Ac 3.48
Ho 0.2370 0.2500 0.5017 (multiplicity 8)  2 Ho 3.28-3.64, 1 Sm 3.34, 3 Nd 3.39-3.42, 2 Ac 3.51

No. 10
Below is crystalline SrAcNdHo at its relaxed geometry, with properties calculated at the PBE level.

a b c (Å): 8.6126 8.6126 8.6126
angles (deg): 90.00 90.00 90.00
Closest atoms and distances in Å follow each position.
Space group F-43m (No. 216)
Unique sites:
Sr 0.0000 0.0000 0.0000 (multiplicity 4)  4 Ac 3.73, 4 Nd 3.73
Ac 0.2500 0.2500 0.2500 (multiplicity 4)  4 Ho 3.73, 4 Sr 3.73
Nd 0.2500 0.2500 0.7500 (multiplicity 4)  4 Ho 3.73, 4 Sr 3.73
Ho 0.0000 0.0000 0.5000 (multiplicity 4)  4 Ac 3.73, 4 Nd 3.73

No. 11
Below is crystalline AcTbNd2Ho at its relaxed geometry, with properties calculated at the PBE level.

a b c (Å): 6.4596 5.9241 9.8807
angles (deg): 90.00 108.87 90.00
Closest atoms and distances in Å follow each position.
Space group P2_1/m (No. 11)
Unique sites:
Ac 0.1366 0.2500 0.1054 (multiplicity 2)  4 Tb 3.69-3.83, 3 Ho 3.69-3.87, 3 Nd 3.71, 2 Ac 3.72
Tb 0.4765 0.7500 0.1046 (multiplicity 2)  4 Nd 3.63-3.79, 2 Ho 3.68-3.82, 2 Tb 3.68, 4 Ac 3.69-3.83
Nd 0.2665 0.7500 0.6993 (multiplicity 2)  3 Tb 3.63-3.79, 3 Ho 3.64-3.65, 4 Nd 3.66-3.77, 2 Ac 3.71
Nd 0.3387 0.2500 0.5025 (multiplicity 2)  6 Nd 3.63-3.77, 4 Ho 3.66-3.70, 1 Tb 3.67, 1 Ac 3.71
Ho 0.0646 0.7500 0.3088 (multiplicity 2)  7 Nd 3.64-3.70, 2 Tb 3.68-3.82, 3 Ac 3.69-3.87

No. 12
Below is crystalline AcTb5NdHo2 at its relaxed geometry, with properties calculated at the PBE level.

a b c (Å): 8.9657 8.9657 15.3321
angles (deg): 90.00 90.00 90.00
Closest atoms and distances in Å follow each position.
Space group I4/mcm (No. 140)
Unique sites:
Ac 0.0000 0.0000 0.2500 (multiplicity 4)  10 Tb 3.76-3.83
Tb 0.0000 0.0000 0.0000 (multiplicity 4)  4 Ho 3.60, 8 Tb 3.76, 2 Ac 3.83
Tb 0.1987 0.3013 0.1253 (multiplicity 16)  1 Ho 3.05, 1 Nd 3.16
Nd 0.0000 0.5000 0.2500 (multiplicity 4)  4 Tb 3.16
Ho 0.1146 0.3854 0.5000 (multiplicity 8)  1 Ho 2.91, 2 Tb 3.05

no.,ΔE_f (meV per atom),DOS(E_F) (states/eV per atom)
1,29.0,1.53
2,147.4,1.22
3,25.1,1.41
4,344.0,1.36
5,131.8,1.40
6,249.2,1.07
7,263.7,1.40
8,116.5,1.44
9,423.8,2.37
10,188.3,1.53
11,44.0,1.67
12,270.4,1.37